A geometry-optimized LiPmNd2 structure. Source: Alexandria via LeMat-Bulk, functional GGA-PBE.

Cell: 11.6718 11.6718 11.6718 Å, 17.84 17.84 17.84°
With the nearest neighbours (Å) after each atom.
Element x y z (fractional)
Li1 0.0000 0.0000 0.0000  6 Nd 3.46-3.47, 6 Li 3.62
Pm1 0.1670 0.1670 0.1670  6 Pm 3.62, 6 Nd 3.63-3.64
Nd1 0.4137 0.4137 0.4137  3 Li 3.47, 6 Nd 3.62, 3 Pm 3.64
Nd2 0.5866 0.5866 0.5866  3 Li 3.46, 6 Nd 3.62, 3 Pm 3.63

Results
**N(E_F)**: 1.18 states/eV/atom
**E_form**: 0.090 eV/atom
**Uncorrected energy**: -15.84 eV for the cell shown
**Calculated density**: 5.6 g/cm3
**Magnetization**: 0.000 μB per atom